Material: InTe2AsI
Method: DFT, PBE
State: optimized geometry

As for the symmetry: P4/mmm (123). The total energy comes out at -2.3772 eV/atom. Its density of states at the Fermi level is 3.65 states/eV/cell. The uncorrected formation energy is 64.4 kJ per mole of atoms. The value obtained for the relative energy among the computed polymorphs is 491 meV/atom.

a b c (Å): 5.774 5.774 5.743
angles (deg): 90.00 90.00 90.00
Fractional coordinates of all 5 atoms:
In: 0.000 0.000 0.000
Te: 0.000 0.500 0.000
Te: 0.500 0.000 0.000
As: 0.500 0.500 0.500
I: 0.000 0.000 0.500